No. 1
# NaTl4InPb (PBE, optimized geometry)
# Energy of formation in meV/atom: 25
# Space-group type: Cmcm
# E in eV per atom: -2.44
data_NaTl4InPb
_cell_length_a 6.440
_cell_length_b 6.440
_cell_length_c 11.383
_cell_angle_alpha 90.00
_cell_angle_beta 90.00
_cell_angle_gamma 114.40
_symmetry_space_group_name_H-M 'P 1'
_symmetry_Int_Tables_number 1
loop_
_symmetry_equiv_pos_as_xyz
'x,y,z'
loop_
_atom_site_label
_atom_site_fract_x
_atom_site_fract_y
_atom_site_fract_z
Na1 0.726 0.274 0.250
Na2 0.274 0.726 0.750
Tl1 0.774 0.770 0.750
Pb1 0.500 0.500 0.500
In1 0.270 0.730 0.250
In2 0.730 0.270 0.750
Tl2 0.154 0.846 0.500
Pb2 0.500 0.500 0.000
Tl3 0.154 0.846 0.000
Tl4 0.230 0.226 0.750
Tl5 0.846 0.154 0.000
Tl6 0.846 0.154 0.500
Tl7 0.226 0.230 0.250
Tl8 0.770 0.774 0.250

=====

No. 2
# Na2Tl2InPb2 (PBE, optimized geometry)
# Energy of formation in meV/atom: -60
# Space-group type: C2/m
# E in eV per atom: -2.56
data_Na2Tl2InPb2
_cell_length_a 5.507
_cell_length_b 8.441
_cell_length_c 5.482
_cell_angle_alpha 89.41
_cell_angle_beta 59.85
_cell_angle_gamma 70.96
_symmetry_space_group_name_H-M 'P 1'
_symmetry_Int_Tables_number 1
loop_
_symmetry_equiv_pos_as_xyz
'x,y,z'
loop_
_atom_site_label
_atom_site_fract_x
_atom_site_fract_y
_atom_site_fract_z
Na1 0.724 0.415 0.138
Pb1 0.567 0.149 0.716
Na2 0.276 0.585 0.862
Pb2 0.433 0.851 0.284
In1 0.000 0.000 0.000
Tl1 0.856 0.715 0.573
Tl2 0.144 0.285 0.427

=====

No. 3
# NaTlIn2Pb4 (PBE, optimized geometry)
# Energy of formation in meV/atom: -45
# Space-group type: P2/m
# E in eV per atom: -3.04
data_NaTlIn2Pb4
_cell_length_a 4.964
_cell_length_b 4.960
_cell_length_c 10.793
_cell_angle_alpha 62.62
_cell_angle_beta 90.00
_cell_angle_gamma 90.00
_symmetry_space_group_name_H-M 'P 1'
_symmetry_Int_Tables_number 1
loop_
_symmetry_equiv_pos_as_xyz
'x,y,z'
loop_
_atom_site_label
_atom_site_fract_x
_atom_site_fract_y
_atom_site_fract_z
Pb1 0.000 0.243 0.256
Na1 0.000 0.500 0.500
Tl1 0.500 0.500 0.000
In1 0.500 0.000 0.500
Pb2 0.500 0.745 0.255
In2 0.000 0.000 0.000
Pb3 0.500 0.255 0.745
Pb4 0.000 0.757 0.744

=====

No. 4
# Na2Tl6InPb (PBE, optimized geometry)
# Energy of formation in meV/atom: -1
# Space-group type: P2_1/c
# E in eV per atom: -2.33
data_Na2Tl6InPb
_cell_length_a 8.772
_cell_length_b 8.447
_cell_length_c 8.252
_cell_angle_alpha 90.00
_cell_angle_beta 82.75
_cell_angle_gamma 90.00
_symmetry_space_group_name_H-M 'P 1'
_symmetry_Int_Tables_number 1
loop_
_symmetry_equiv_pos_as_xyz
'x,y,z'
loop_
_atom_site_label
_atom_site_fract_x
_atom_site_fract_y
_atom_site_fract_z
In1 0.000 0.500 0.500
Tl1 0.680 0.692 0.067
Tl2 0.300 0.632 0.214
Tl3 0.320 0.308 0.933
Tl4 0.800 0.868 0.714
Tl5 0.146 0.882 0.958
Na1 0.930 0.831 0.301
Pb1 0.000 0.500 0.000
Tl6 0.354 0.382 0.542
Pb2 0.500 0.000 0.500
Na2 0.570 0.331 0.199
Tl7 0.180 0.808 0.567
Na3 0.070 0.169 0.699
Tl8 0.700 0.368 0.786
Tl9 0.820 0.192 0.433
Na4 0.430 0.669 0.801
Tl10 0.854 0.118 0.042
In2 0.500 0.000 0.000
Tl11 0.200 0.132 0.286
Tl12 0.646 0.618 0.458